A geometry-optimized ZnWAu2 structure, computed with PBE.

Values from the calculation:
Space-group type ... No. 25
DFT total energy ... -4.899 eV/atom
Total moment ... 0.00 μB/cell
Mass density ... 16.11 g cm⁻³

abc: 2.824 3.851 6.096
angles: 90.00 90.00 90.00
Atoms (fractional coordinates):
1 Au 0.000 0.000 0.981
2 Au 0.500 0.500 0.265
3 W 0.000 0.000 0.507
4 Zn 0.500 0.500 0.747

---

A geometry-optimized NdErZn2Ga2 structure, computed with PBE.

Values from the calculation:
Space-group type ... No. 164
DFT total energy ... -3.553 eV/atom
Total moment ... 0.00 μB/cell
Mass density ... 7.69 g cm⁻³

abc: 4.442 4.442 7.354
angles: 90.00 90.00 120.00
Atoms (fractional coordinates):
1 Nd 0.000 0.000 0.000
2 Er 0.000 0.000 0.500
3 Zn 0.667 0.333 0.723
4 Zn 0.333 0.667 0.277
5 Ga 0.667 0.333 0.267
6 Ga 0.333 0.667 0.733

---

A geometry-optimized DyThMo structure, computed with PBE.

Values from the calculation:
Space-group type ... No. 12
DFT total energy ... -7.389 eV/atom
Total moment ... 0.00 μB/cell
Mass density ... 9.79 g cm⁻³

abc: 4.168 6.049 6.965
angles: 96.60 107.41 90.00
Atoms (fractional coordinates):
1 Mo 0.744 0.121 0.487
2 Mo 0.256 0.879 0.513
3 Dy 0.571 0.779 0.141
4 Dy 0.429 0.221 0.859
5 Th 0.850 0.650 0.700
6 Th 0.150 0.350 0.300